# 1
Y6TeAs3S2 after structural relaxation. Source: Alexandria, functional PBE.

Total DFT energy (no corrections)   -0.2581 hartree per atom
Symmetry   C2/m, No. 12
Uncorrected formation energy   -20.1 eV/f.u.
Crystal system   monoclinic
Size of the total moment   0.0 Bohr magnetons per cell

a b c (Å): 9.1751 9.1751 8.2340
angles (deg): 102.92 102.92 25.83
Fractional positions:
Y 0.0025 0.0025 0.2718
Y 0.3244 0.3244 0.9118
Y 0.3323 0.3323 0.4161
Y 0.6677 0.6677 0.5839
Y 0.6756 0.6756 0.0882
Y 0.9975 0.9975 0.7282
Te 0.5000 0.5000 0.0000
As 0.1633 0.1633 0.8317
As 0.5000 0.5000 0.5000
As 0.8367 0.8367 0.1683
S 0.1686 0.1686 0.3353
S 0.8314 0.8314 0.6647

# 2
CaTe2Ru after structural relaxation. Source: Alexandria, functional PBE.

Total DFT energy (no corrections)   -0.1678 hartree per atom
Symmetry   Cmmm, No. 65
Uncorrected formation energy   -0.7 eV/f.u.
Crystal system   orthorhombic
Size of the total moment   0.0 Bohr magnetons per cell
Polymorph energy (0 for the lowest one)   534 meV/atom

a b c (Å): 4.4823 5.5559 7.5284
angles (deg): 90.00 90.00 90.00
Fractional positions:
Ca 0.0000 0.0000 0.0000
Ca 0.5000 0.5000 0.0000
Te 0.0000 0.5000 0.2848
Te 0.0000 0.5000 0.7152
Te 0.5000 0.0000 0.2848
Te 0.5000 0.0000 0.7152
Ru 0.0000 0.0000 0.5000
Ru 0.5000 0.5000 0.5000

# 3
HgSbRh2 after structural relaxation. Source: Alexandria, functional PBE.

Total DFT energy (no corrections)   -0.1772 hartree per atom
Symmetry   Pmm2, No. 25
Uncorrected formation energy   -0.2 eV/f.u.
Crystal system   orthorhombic
Size of the total moment   0.0 Bohr magnetons per cell
Polymorph energy (0 for the lowest one)   80 meV/atom

a b c (Å): 3.2123 4.6731 4.6745
angles (deg): 90.00 90.00 90.00
Fractional positions:
Hg 0.0000 0.0000 0.0000
Sb 0.0000 0.5000 0.4962
Rh 0.5000 0.0000 0.5002
Rh 0.5000 0.5000 0.9916

# 4
Mn2In5Cl12 after structural relaxation. Source: Alexandria, functional PBE.

Total DFT energy (no corrections)   -0.1396 hartree per atom
Symmetry   C2/m, No. 12
Uncorrected formation energy   -18.0 eV/f.u.
Crystal system   monoclinic
Size of the total moment   8.9 Bohr magnetons per cell

a b c (Å): 9.0563 9.0563 8.8920
angles (deg): 107.28 107.28 50.32
Fractional positions:
Mn 0.2447 0.7553 0.0000
Mn 0.7553 0.2447 0.0000
In 0.1849 0.1849 0.8423
In 0.2050 0.2050 0.3745
In 0.5000 0.5000 0.5000
In 0.7950 0.7950 0.6255
In 0.8151 0.8151 0.1577
Cl 0.0033 0.0033 0.1931
Cl 0.0928 0.5944 0.9157
Cl 0.1552 0.6102 0.4265
Cl 0.3898 0.8448 0.5735
Cl 0.4056 0.9072 0.0843
Cl 0.4951 0.4951 0.8024
Cl 0.5049 0.5049 0.1976
Cl 0.5944 0.0928 0.9157
Cl 0.6102 0.1552 0.4265
Cl 0.8448 0.3898 0.5735
Cl 0.9072 0.4056 0.0843
Cl 0.9967 0.9967 0.8069

# 5
Nb2TlHPt after structural relaxation. Source: Alexandria, functional PBE.

Total DFT energy (no corrections)   -0.1782 hartree per atom
Symmetry   P4/mmm, No. 123
Crystal system   tetragonal
Size of the total moment   4.1 Bohr magnetons per cell

a b c (Å): 5.0516 5.0516 5.2296
angles (deg): 90.00 90.00 90.00
Fractional positions:
Nb 0.0000 0.5000 0.0000
Nb 0.5000 0.0000 0.0000
Tl 0.0000 0.0000 0.5000
H 0.5000 0.5000 0.5000
Pt 0.0000 0.0000 0.0000

# 6
CsSb3S after structural relaxation. Source: Alexandria, functional PBE.

Total DFT energy (no corrections)   -0.1188 hartree per atom
Symmetry   Pm-3m, No. 221
Uncorrected formation energy   1.2 eV/f.u.
Crystal system   cubic
Size of the total moment   0.0 Bohr magnetons per cell
Polymorph energy (0 for the lowest one)   0 meV/atom

a b c (Å): 5.5089 5.5089 5.5089
angles (deg): 90.00 90.00 90.00
Fractional positions:
Cs 0.0000 0.0000 0.0000
Sb 0.0000 0.5000 0.5000
Sb 0.5000 0.0000 0.5000
Sb 0.5000 0.5000 0.0000
S 0.5000 0.5000 0.5000